Entry 1:
Compound: ZnInP2
Source: Alexandria via LeMat-Bulk
Functional: PBE
Structure: optimized geometry

Results
**Total DFT energy (no corrections)**: -3.4415 eV/atom
**Formation enthalpy at 0 K**: 26 kJ/mol of atoms

```
data_ZnInP2
_chemical_formula_sum 'Zn2 In2 P4'
_space_group_name_H-M_alt 'C 1 2/m 1'
_space_group_IT_number 12
_space_group_name_Hall '-C 2y'
_cell_length_a 5.519
_cell_length_b 7.438
_cell_length_c 4.130
_cell_angle_alpha 90.00
_cell_angle_beta 116.50
_cell_angle_gamma 90.00
loop_
_atom_site_label
_atom_site_fract_x
_atom_site_fract_y
_atom_site_fract_z
Zn1 0.000 0.000 0.000
In1 0.000 0.500 0.000
P1 0.250 0.250 0.500
```



Entry 2:
Compound: ZnIn2P
Source: Alexandria via LeMat-Bulk
Functional: PBE
Structure: optimized geometry

Results
**Total DFT energy (no corrections)**: -2.8108 eV/atom
**Formation enthalpy at 0 K**: 22 kJ/mol of atoms

```
data_ZnIn2P
_chemical_formula_sum 'Zn1 In2 P1'
_space_group_name_H-M_alt 'P 4/m m m'
_space_group_IT_number 123
_space_group_name_Hall '-P 4 2'
_cell_length_a 4.777
_cell_length_b 4.777
_cell_length_c 3.712
_cell_angle_alpha 90.00
_cell_angle_beta 90.00
_cell_angle_gamma 90.00
loop_
_atom_site_label
_atom_site_fract_x
_atom_site_fract_y
_atom_site_fract_z
Zn1 0.000 0.000 0.000
In1 0.000 0.500 0.500
P1 0.500 0.500 0.000
```



Entry 3:
Compound: ZnInP2
Source: Alexandria via LeMat-Bulk
Functional: PBE
Structure: optimized geometry

Results
**Total DFT energy (no corrections)**: -3.3025 eV/atom
**Formation enthalpy at 0 K**: 39 kJ/mol of atoms

```
data_ZnInP2
_chemical_formula_sum 'Zn2 In2 P4'
_space_group_name_H-M_alt 'I -4 m 2'
_space_group_IT_number 119
_space_group_name_Hall 'I -4 -2'
_cell_length_a 3.723
_cell_length_b 3.723
_cell_length_c 11.052
_cell_angle_alpha 90.00
_cell_angle_beta 90.00
_cell_angle_gamma 90.00
loop_
_atom_site_label
_atom_site_fract_x
_atom_site_fract_y
_atom_site_fract_z
Zn1 0.000 0.000 0.000
In1 0.000 0.500 0.750
P1 0.000 0.000 0.500
P2 0.000 0.500 0.250
```



Entry 4:
Compound: ZnIn2P
Source: Alexandria via LeMat-Bulk
Functional: PBE
Structure: optimized geometry

Results
**Total DFT energy (no corrections)**: -2.8768 eV/atom
**Formation enthalpy at 0 K**: 16 kJ/mol of atoms

```
data_ZnIn2P
_chemical_formula_sum 'Zn1 In2 P1'
_space_group_name_H-M_alt 'P m m m'
_space_group_IT_number 47
_space_group_name_Hall '-P 2 2'
_cell_length_a 2.835
_cell_length_b 3.873
_cell_length_c 7.823
_cell_angle_alpha 90.00
_cell_angle_beta 90.00
_cell_angle_gamma 90.00
loop_
_atom_site_label
_atom_site_fract_x
_atom_site_fract_y
_atom_site_fract_z
Zn1 0.000 0.000 0.000
In1 0.500 0.500 0.247
P1 0.500 0.000 0.500
```



Entry 5:
Compound: ZnInP
Source: Alexandria via LeMat-Bulk
Functional: PBE
Structure: optimized geometry

Results
**Total DFT energy (no corrections)**: -2.9375 eV/atom
**Formation enthalpy at 0 K**: 20 kJ/mol of atoms

```
data_ZnInP
_chemical_formula_sum 'Zn2 In2 P2'
_space_group_name_H-M_alt 'I 4 m m'
_space_group_IT_number 107
_space_group_name_Hall 'I 4 -2'
_cell_length_a 3.424
_cell_length_b 3.424
_cell_length_c 11.823
_cell_angle_alpha 90.00
_cell_angle_beta 90.00
_cell_angle_gamma 90.00
loop_
_atom_site_label
_atom_site_fract_x
_atom_site_fract_y
_atom_site_fract_z
Zn1 0.000 0.000 0.000
In1 0.000 0.000 0.240
P1 0.000 0.000 0.462
```



Entry 6:
Compound: ZnIn2P
Source: Alexandria via LeMat-Bulk
Functional: PBE
Structure: optimized geometry

Results
**Total DFT energy (no corrections)**: -2.7394 eV/atom
**Formation enthalpy at 0 K**: 29 kJ/mol of atoms

```
data_ZnIn2P
_chemical_formula_sum 'Zn4 In8 P4'
_space_group_name_H-M_alt 'F -4 3 m'
_space_group_IT_number 216
_space_group_name_Hall 'F -4 2 3'
_cell_length_a 7.038
_cell_length_b 7.038
_cell_length_c 7.038
_cell_angle_alpha 90.00
_cell_angle_beta 90.00
_cell_angle_gamma 90.00
loop_
_atom_site_label
_atom_site_fract_x
_atom_site_fract_y
_atom_site_fract_z
Zn1 0.000 0.000 0.000
In1 0.000 0.000 0.500
In2 0.250 0.250 0.750
P1 0.250 0.250 0.250
```



Entry 7:
Compound: ZnInP2
Source: Alexandria via LeMat-Bulk
Functional: PBE
Structure: optimized geometry

Results
**Total DFT energy (no corrections)**: -3.2517 eV/atom
**Formation enthalpy at 0 K**: 44 kJ/mol of atoms

```
data_ZnInP2
_chemical_formula_sum 'Zn1 In1 P2'
_space_group_name_H-M_alt 'P 4/m m m'
_space_group_IT_number 123
_space_group_name_Hall '-P 4 2'
_cell_length_a 4.518
_cell_length_b 4.518
_cell_length_c 3.554
_cell_angle_alpha 90.00
_cell_angle_beta 90.00
_cell_angle_gamma 90.00
loop_
_atom_site_label
_atom_site_fract_x
_atom_site_fract_y
_atom_site_fract_z
Zn1 0.000 0.000 0.000
In1 0.500 0.500 0.000
P1 0.000 0.500 0.500
```



Entry 8:
Compound: ZnInP2
Source: Alexandria via LeMat-Bulk
Functional: PBE
Structure: optimized geometry

Results
**Total DFT energy (no corrections)**: -3.6476 eV/atom
**Formation enthalpy at 0 K**: 6 kJ/mol of atoms

```
data_ZnInP2
_chemical_formula_sum 'Zn2 In2 P4'
_space_group_name_H-M_alt 'C 1 m 1'
_space_group_IT_number 8
_space_group_name_Hall 'C -2y'
_cell_length_a 7.394
_cell_length_b 3.247
_cell_length_c 6.975
_cell_angle_alpha 90.00
_cell_angle_beta 109.11
_cell_angle_gamma 90.00
loop_
_atom_site_label
_atom_site_fract_x
_atom_site_fract_y
_atom_site_fract_z
Zn1 0.000 0.000 0.000
In1 0.185 0.000 0.700
P1 0.283 0.500 0.195
P2 0.372 0.000 0.428
```



Entry 9:
Compound: ZnIn2P
Source: Alexandria via LeMat-Bulk
Functional: PBE
Structure: optimized geometry

Results
**Total DFT energy (no corrections)**: -3.0157 eV/atom
**Formation enthalpy at 0 K**: 2 kJ/mol of atoms

```
data_ZnIn2P
_chemical_formula_sum 'Zn3 In6 P3'
_space_group_name_H-M_alt 'R 3 m'
_space_group_IT_number 160
_space_group_name_Hall 'R 3 -2"'
_cell_length_a 3.9047
_cell_length_b 3.9047
_cell_length_c 20.9352
_cell_angle_alpha 90.00
_cell_angle_beta 90.00
_cell_angle_gamma 120.00
loop_
_atom_site_label
_atom_site_fract_x
_atom_site_fract_y
_atom_site_fract_z
Zn1 0.0000 0.0000 0.0000
In1 0.0000 0.0000 0.2414
In2 0.0000 0.0000 0.4599
P1 0.0000 0.0000 0.7116
```



Entry 10:
Compound: ZnInP2
Source: Alexandria via LeMat-Bulk
Functional: PBE
Structure: optimized geometry

Results
**Total DFT energy (no corrections)**: -3.3322 eV/atom
**Formation enthalpy at 0 K**: 36 kJ/mol of atoms

```
data_ZnInP2
_chemical_formula_sum 'Zn2 In2 P4'
_space_group_name_H-M_alt 'C m m m'
_space_group_IT_number 65
_space_group_name_Hall '-C 2 2'
_cell_length_a 3.785
_cell_length_b 5.491
_cell_length_c 7.303
_cell_angle_alpha 90.00
_cell_angle_beta 90.00
_cell_angle_gamma 90.00
loop_
_atom_site_label
_atom_site_fract_x
_atom_site_fract_y
_atom_site_fract_z
Zn1 0.000 0.000 0.000
In1 0.000 0.000 0.500
P1 0.000 0.500 0.223
```



Entry 11:
Compound: ZnIn2P4
Source: Alexandria via LeMat-Bulk
Functional: PBE
Structure: optimized geometry

Results
**Total DFT energy (no corrections)**: -4.0054 eV/atom
**Formation enthalpy at 0 K**: 5 kJ/mol of atoms

```
data_ZnIn2P4
_chemical_formula_sum 'Zn4 In8 P16'
_space_group_name_H-M_alt 'C 1 2/m 1'
_space_group_IT_number 12
_space_group_name_Hall '-C 2y'
_cell_length_a 7.123
_cell_length_b 3.865
_cell_length_c 22.883
_cell_angle_alpha 90.00
_cell_angle_beta 96.91
_cell_angle_gamma 90.00
loop_
_atom_site_label
_atom_site_fract_x
_atom_site_fract_y
_atom_site_fract_z
Zn1 0.204 0.000 0.083
In1 0.042 0.000 0.764
In2 0.248 0.500 0.615
P1 0.016 0.500 0.047
P2 0.031 0.000 0.545
P3 0.040 0.500 0.326
P4 0.242 0.500 0.814
```



Entry 12:
Compound: ZnInP2
Source: Alexandria via LeMat-Bulk
Functional: PBE
Structure: optimized geometry

Results
**Total DFT energy (no corrections)**: -3.4855 eV/atom
**Formation enthalpy at 0 K**: 21 kJ/mol of atoms

```
data_ZnInP2
_chemical_formula_sum 'Zn1 In1 P2'
_space_group_name_H-M_alt 'P 4/m m m'
_space_group_IT_number 123
_space_group_name_Hall '-P 4 2'
_cell_length_a 3.459
_cell_length_b 3.459
_cell_length_c 6.692
_cell_angle_alpha 90.00
_cell_angle_beta 90.00
_cell_angle_gamma 90.00
loop_
_atom_site_label
_atom_site_fract_x
_atom_site_fract_y
_atom_site_fract_z
Zn1 0.000 0.000 0.000
In1 0.000 0.000 0.500
P1 0.500 0.500 0.163
```